# 1
# Pr3BiSb2 (PBE, relaxed)
data_Pr3BiSb2
_chemical_formula_sum 'Pr3 Bi1 Sb2'
_symmetry_space_group_name_H-M 'P 1'
_symmetry_Int_Tables_number 1
_cell_length_a 7.942
_cell_length_b 7.942
_cell_length_c 7.942
_cell_angle_alpha 146.43
_cell_angle_beta 131.85
_cell_angle_gamma 59.97
loop_
_symmetry_equiv_pos_as_xyz
'x,y,z'
loop_
_atom_site_label
_atom_site_fract_x
_atom_site_fract_y
_atom_site_fract_z
Pr1 0.000 0.000 0.000
Pr2 0.330 0.330 0.000
Pr3 0.670 0.670 0.000
Bi1 0.500 0.000 0.500
Sb1 0.166 0.666 0.500
Sb2 0.834 0.334 0.500
# Uncorrected formation energy, eV/atom: -1.115
# Total magnetization, Bohr magnetons per cell: 0.0

***

# 2
# PrBi2Sb (PBE, relaxed)
data_PrBi2Sb
_chemical_formula_sum 'Pr1 Bi2 Sb1'
_symmetry_space_group_name_H-M 'P 1'
_symmetry_Int_Tables_number 1
_cell_length_a 10.731
_cell_length_b 10.731
_cell_length_c 10.731
_cell_angle_alpha 21.77
_cell_angle_beta 21.77
_cell_angle_gamma 21.77
loop_
_symmetry_equiv_pos_as_xyz
'x,y,z'
loop_
_atom_site_label
_atom_site_fract_x
_atom_site_fract_y
_atom_site_fract_z
Pr1 0.000 0.000 0.000
Bi1 0.103 0.103 0.103
Bi2 0.897 0.897 0.897
Sb1 0.500 0.500 0.500
# Uncorrected formation energy, eV/atom: 0.209
# Total magnetization, Bohr magnetons per cell: 0.0
# Distance to the lowest polymorph of the same formula, meV per atom: 681

***

# 3
# Pr7Bi2Sb2 (PBE, relaxed)
data_Pr7Bi2Sb2
_chemical_formula_sum 'Pr7 Bi2 Sb2'
_symmetry_space_group_name_H-M 'P 1'
_symmetry_Int_Tables_number 1
_cell_length_a 7.619
_cell_length_b 7.619
_cell_length_c 7.029
_cell_angle_alpha 90.00
_cell_angle_beta 90.00
_cell_angle_gamma 99.83
loop_
_symmetry_equiv_pos_as_xyz
'x,y,z'
loop_
_atom_site_label
_atom_site_fract_x
_atom_site_fract_y
_atom_site_fract_z
Pr1 0.000 0.000 0.000
Pr2 0.000 0.500 0.269
Pr3 0.000 0.500 0.731
Pr4 0.500 0.000 0.269
Pr5 0.500 0.000 0.731
Pr6 0.500 0.500 0.255
Pr7 0.500 0.500 0.745
Bi1 0.195 0.195 0.500
Bi2 0.805 0.805 0.500
Sb1 0.274 0.726 0.000
Sb2 0.726 0.274 0.000
# Uncorrected formation energy, eV/atom: -0.523
# Total magnetization, Bohr magnetons per cell: 0.0

***

# 4
# Pr8Bi5Sb (PBE, relaxed)
data_Pr8Bi5Sb
_chemical_formula_sum 'Pr8 Bi5 Sb1'
_symmetry_space_group_name_H-M 'P 1'
_symmetry_Int_Tables_number 1
_cell_length_a 8.433
_cell_length_b 8.433
_cell_length_c 8.433
_cell_angle_alpha 109.54
_cell_angle_beta 109.54
_cell_angle_gamma 109.34
loop_
_symmetry_equiv_pos_as_xyz
'x,y,z'
loop_
_atom_site_label
_atom_site_fract_x
_atom_site_fract_y
_atom_site_fract_z
Pr1 0.022 0.129 0.753
Pr2 0.237 0.482 0.613
Pr3 0.375 0.763 0.244
Pr4 0.376 0.269 0.247
Pr5 0.518 0.131 0.756
Pr6 0.731 0.978 0.107
Pr7 0.869 0.625 0.387
Pr8 0.871 0.624 0.893
Bi1 0.000 0.375 0.128
Bi2 0.128 0.000 0.375
Bi3 0.247 0.872 0.872
Bi4 0.625 0.753 0.625
Bi5 0.750 0.250 0.500
Sb1 0.500 0.500 0.000
# Uncorrected formation energy, eV/atom: -0.882
# Total magnetization, Bohr magnetons per cell: 0.0

***

# 5
# Pr6Bi2Sb3Se (PBE, relaxed)
data_Pr6Bi2Sb3Se
_chemical_formula_sum 'Pr6 Bi2 Sb3 Se1'
_symmetry_space_group_name_H-M 'P 1'
_symmetry_Int_Tables_number 1
_cell_length_a 10.145
_cell_length_b 10.145
_cell_length_c 9.094
_cell_angle_alpha 102.83
_cell_angle_beta 102.83
_cell_angle_gamma 25.89
loop_
_symmetry_equiv_pos_as_xyz
'x,y,z'
loop_
_atom_site_label
_atom_site_fract_x
_atom_site_fract_y
_atom_site_fract_z
Pr1 0.002 0.002 0.255
Pr2 0.335 0.335 0.913
Pr3 0.337 0.337 0.423
Pr4 0.663 0.663 0.577
Pr5 0.665 0.665 0.087
Pr6 0.998 0.998 0.745
Bi1 0.166 0.166 0.832
Bi2 0.834 0.834 0.168
Sb1 0.168 0.168 0.335
Sb2 0.500 0.500 0.000
Sb3 0.832 0.832 0.665
Se1 0.500 0.500 0.500
# Uncorrected formation energy, eV/atom: -1.226
# Total magnetization, Bohr magnetons per cell: 0.0

***

# 6
# Pr6BiSb3Se2 (PBE, relaxed)
data_Pr6BiSb3Se2
_chemical_formula_sum 'Pr6 Bi1 Sb3 Se2'
_symmetry_space_group_name_H-M 'P 1'
_symmetry_Int_Tables_number 1
_cell_length_a 10.014
_cell_length_b 10.014
_cell_length_c 8.959
_cell_angle_alpha 102.82
_cell_angle_beta 102.82
_cell_angle_gamma 25.94
loop_
_symmetry_equiv_pos_as_xyz
'x,y,z'
loop_
_atom_site_label
_atom_site_fract_x
_atom_site_fract_y
_atom_site_fract_z
Pr1 0.004 0.004 0.257
Pr2 0.330 0.330 0.911
Pr3 0.332 0.332 0.421
Pr4 0.668 0.668 0.579
Pr5 0.670 0.670 0.089
Pr6 0.996 0.996 0.743
Bi1 0.500 0.500 0.000
Sb1 0.165 0.165 0.831
Sb2 0.500 0.500 0.500
Sb3 0.835 0.835 0.169
Se1 0.169 0.169 0.336
Se2 0.831 0.831 0.664
# Uncorrected formation energy, eV/atom: -1.369
# Total magnetization, Bohr magnetons per cell: 0.0

***

# 7
# Pr6BiSb2Se3 (PBE, relaxed)
data_Pr6BiSb2Se3
_chemical_formula_sum 'Pr6 Bi1 Sb2 Se3'
_symmetry_space_group_name_H-M 'P 1'
_symmetry_Int_Tables_number 1
_cell_length_a 9.911
_cell_length_b 9.911
_cell_length_c 8.845
_cell_angle_alpha 102.76
_cell_angle_beta 102.76
_cell_angle_gamma 25.89
loop_
_symmetry_equiv_pos_as_xyz
'x,y,z'
loop_
_atom_site_label
_atom_site_fract_x
_atom_site_fract_y
_atom_site_fract_z
Pr1 0.002 0.002 0.238
Pr2 0.329 0.329 0.421
Pr3 0.335 0.335 0.912
Pr4 0.665 0.665 0.088
Pr5 0.671 0.671 0.579
Pr6 0.998 0.998 0.762
Bi1 0.500 0.500 0.500
Sb1 0.167 0.167 0.833
Sb2 0.833 0.833 0.167
Se1 0.166 0.166 0.333
Se2 0.500 0.500 0.000
Se3 0.834 0.834 0.667
# Uncorrected formation energy, eV/atom: -1.478
# Total magnetization, Bohr magnetons per cell: 0.0

***

# 8
# Pr4BiSb2Se (PBE, relaxed)
data_Pr4BiSb2Se
_chemical_formula_sum 'Pr4 Bi1 Sb2 Se1'
_symmetry_space_group_name_H-M 'P 1'
_symmetry_Int_Tables_number 1
_cell_length_a 7.814
_cell_length_b 4.521
_cell_length_c 7.819
_cell_angle_alpha 90.00
_cell_angle_beta 109.47
_cell_angle_gamma 90.00
loop_
_symmetry_equiv_pos_as_xyz
'x,y,z'
loop_
_atom_site_label
_atom_site_fract_x
_atom_site_fract_y
_atom_site_fract_z
Pr1 0.248 0.000 0.244
Pr2 0.251 0.500 0.757
Pr3 0.749 0.500 0.243
Pr4 0.752 0.000 0.756
Bi1 0.000 0.000 0.500
Sb1 0.500 0.000 0.000
Sb2 0.500 0.500 0.500
Se1 0.000 0.500 0.000
# Uncorrected formation energy, eV/atom: -1.299
# Total magnetization, Bohr magnetons per cell: 0.0

***

# 9
# PrSmBiSb (PBE, relaxed)
data_PrSmBiSb
_chemical_formula_sum 'Pr1 Sm1 Bi1 Sb1'
_symmetry_space_group_name_H-M 'P 1'
_symmetry_Int_Tables_number 1
_cell_length_a 7.892
_cell_length_b 7.892
_cell_length_c 7.892
_cell_angle_alpha 33.56
_cell_angle_beta 33.56
_cell_angle_gamma 33.56
loop_
_symmetry_equiv_pos_as_xyz
'x,y,z'
loop_
_atom_site_label
_atom_site_fract_x
_atom_site_fract_y
_atom_site_fract_z
Pr1 0.000 0.000 0.000
Sm1 0.496 0.496 0.496
Bi1 0.246 0.246 0.246
Sb1 0.750 0.750 0.750
# Uncorrected formation energy, eV/atom: -1.062
# Total magnetization, Bohr magnetons per cell: 0.0

***

# 10
# TbPrBiSb (PBE, relaxed)
data_TbPrBiSb
_chemical_formula_sum 'Tb1 Pr1 Bi1 Sb1'
_symmetry_space_group_name_H-M 'P 1'
_symmetry_Int_Tables_number 1
_cell_length_a 7.831
_cell_length_b 7.831
_cell_length_c 7.831
_cell_angle_alpha 33.59
_cell_angle_beta 33.59
_cell_angle_gamma 33.59
loop_
_symmetry_equiv_pos_as_xyz
'x,y,z'
loop_
_atom_site_label
_atom_site_fract_x
_atom_site_fract_y
_atom_site_fract_z
Tb1 0.000 0.000 0.000
Pr1 0.496 0.496 0.496
Bi1 0.251 0.251 0.251
Sb1 0.745 0.745 0.745
# Uncorrected formation energy, eV/atom: -1.041
# Total magnetization, Bohr magnetons per cell: 0.0

***

# 11
# Pr4BiSb2Te (PBE, relaxed)
data_Pr4BiSb2Te
_chemical_formula_sum 'Pr4 Bi1 Sb2 Te1'
_symmetry_space_group_name_H-M 'P 1'
_symmetry_Int_Tables_number 1
_cell_length_a 7.913
_cell_length_b 4.578
_cell_length_c 7.926
_cell_angle_alpha 90.00
_cell_angle_beta 109.43
_cell_angle_gamma 90.00
loop_
_symmetry_equiv_pos_as_xyz
'x,y,z'
loop_
_atom_site_label
_atom_site_fract_x
_atom_site_fract_y
_atom_site_fract_z
Pr1 0.246 0.000 0.242
Pr2 0.251 0.500 0.757
Pr3 0.749 0.500 0.243
Pr4 0.754 0.000 0.758
Bi1 0.000 0.000 0.500
Sb1 0.000 0.500 0.000
Sb2 0.500 0.000 0.000
Te1 0.500 0.500 0.500
# Uncorrected formation energy, eV/atom: -1.233
# Total magnetization, Bohr magnetons per cell: 0.0

***

# 12
# Pr6Bi3Sb2Te (PBE, relaxed)
data_Pr6Bi3Sb2Te
_chemical_formula_sum 'Pr6 Bi3 Sb2 Te1'
_symmetry_space_group_name_H-M 'P 1'
_symmetry_Int_Tables_number 1
_cell_length_a 10.269
_cell_length_b 10.269
_cell_length_c 9.199
_cell_angle_alpha 102.84
_cell_angle_beta 102.84
_cell_angle_gamma 25.87
loop_
_symmetry_equiv_pos_as_xyz
'x,y,z'
loop_
_atom_site_label
_atom_site_fract_x
_atom_site_fract_y
_atom_site_fract_z
Pr1 0.002 0.002 0.253
Pr2 0.332 0.332 0.420
Pr3 0.332 0.332 0.912
Pr4 0.668 0.668 0.088
Pr5 0.668 0.668 0.580
Pr6 0.998 0.998 0.747
Bi1 0.166 0.166 0.833
Bi2 0.500 0.500 0.500
Bi3 0.834 0.834 0.167
Sb1 0.167 0.167 0.332
Sb2 0.833 0.833 0.668
Te1 0.500 0.500 0.000
# Uncorrected formation energy, eV/atom: -1.139
# Total magnetization, Bohr magnetons per cell: 0.0